Version one
# KB2Pt

An optimized crystal structure of KB2Pt (PBE, the Alexandria database).

```
KB2Pt
1.0
-2.728 2.728 5.766
2.728 -2.728 5.766
2.728 2.728 -5.766
K B Pt
2 4 2
Direct
0.375 0.625 0.750
0.625 0.375 0.250
0.000 0.000 0.000
0.000 0.000 0.500
0.000 0.500 0.000
0.500 0.000 0.500
0.125 0.875 0.250
0.875 0.125 0.750
```

* magnetic moment: 0.0000 μB per atom
* V: 172 Å³/cell
* D(E_F): 2.656 states/eV/cell
* crystal system: tetragonal



Version two
# KB2Pt

An optimized crystal structure of KB2Pt (PBE, the Alexandria database).

```
KB2Pt
1.0
0.000 3.024 3.024
3.024 0.000 3.024
3.024 3.024 0.000
K B Pt
1 2 1
Direct
0.000 0.000 0.000
0.250 0.250 0.250
0.750 0.750 0.750
0.500 0.500 0.500
```

* magnetic moment: 0.0000 μB per atom
* V: 55 Å³/cell
* D(E_F): 1.886 states/eV/cell
* crystal system: cubic



Most favorable structure: version one. The second most favorable one is 1.248 eV/atom above it.



Version one
# KB2Pt3

An optimized crystal structure of KB2Pt3 (PBE, the Alexandria database).

```
KB2Pt3
1.0
5.385 -3.108 0.000
5.385 3.108 0.000
0.000 0.000 5.473
K B Pt
2 4 6
Direct
0.001 0.999 0.750
0.999 0.001 0.250
0.333 0.333 0.000
0.333 0.333 0.500
0.667 0.667 0.000
0.667 0.667 0.500
0.000 0.500 0.250
0.000 0.500 0.750
0.499 0.501 0.250
0.500 0.000 0.250
0.500 0.000 0.750
0.501 0.499 0.750
```

* magnetic moment: 0.0000 μB per atom
* V: 183 Å³/cell
* D(E_F): 4.717 states/eV/cell
* crystal system: orthorhombic



Version two
# KB2Pt3

An optimized crystal structure of KB2Pt3 (PBE, the Alexandria database).

```
KB2Pt3
1.0
5.669 0.000 0.000
-2.834 4.909 0.000
0.000 0.000 3.141
K B Pt
1 2 3
Direct
0.000 0.000 0.000
0.333 0.667 0.000
0.667 0.333 0.000
0.000 0.500 0.500
0.500 0.000 0.500
0.500 0.500 0.500
```

* magnetic moment: 0.0000 μB per atom
* V: 87 Å³/cell
* D(E_F): 0.994 states/eV/cell
* crystal system: hexagonal



Most favorable structure: version two. The second most favorable one is 0.047 eV/atom above it.



Version one
# K2B2Pt

An optimized crystal structure of K2B2Pt (PBE, the Alexandria database).

```
K2B2Pt
1.0
-1.422 1.422 10.616
1.422 -1.422 10.616
1.422 1.422 -10.616
K B Pt
2 2 1
Direct
0.119 0.119 0.000
0.881 0.881 0.000
0.250 0.750 0.500
0.750 0.250 0.500
0.500 0.500 0.000
```

* magnetic moment: 0.0000 μB per atom
* V: 86 Å³/cell
* D(E_F): 2.684 states/eV/cell
* crystal system: tetragonal



Version two
# K2B2Pt

An optimized crystal structure of K2B2Pt (PBE, the Alexandria database).

```
K2B2Pt
1.0
9.315 0.000 0.000
0.000 9.315 0.000
0.000 0.000 2.617
K B Pt
4 4 2
Direct
0.223 0.277 0.000
0.277 0.777 0.000
0.723 0.223 0.000
0.777 0.723 0.000
0.061 0.561 0.500
0.439 0.061 0.500
0.561 0.939 0.500
0.939 0.439 0.500
0.000 0.000 0.000
0.500 0.500 0.000
```

* magnetic moment: 0.0000 μB per atom
* V: 227 Å³/cell
* D(E_F): 7.954 states/eV/cell
* crystal system: tetragonal



Most favorable structure: version one. The second most favorable one is 0.292 eV/atom above it.



Version one
# KRbB3

An optimized crystal structure of KRbB3 (PBE, the Alexandria database).

```
KRbB3
1.0
5.457 0.000 0.000
0.000 5.457 0.000
0.000 0.000 5.457
K Rb B
1 1 3
Direct
0.000 0.000 0.000
0.500 0.500 0.500
0.000 0.000 0.500
0.000 0.500 0.000
0.500 0.000 0.000
```

* magnetic moment: 0.4841 μB per atom
* V: 163 Å³/cell
* D(E_F): 5.090 states/eV/cell
* crystal system: cubic



Version two
# KRbB3

An optimized crystal structure of KRbB3 (PBE, the Alexandria database).

```
KRbB3
1.0
5.458 0.000 0.000
0.000 5.458 0.000
0.000 0.000 5.458
K Rb B
1 1 3
Direct
0.000 0.000 0.000
0.500 0.500 0.500
0.000 0.500 0.500
0.500 0.000 0.500
0.500 0.500 0.000
```

* magnetic moment: 0.3225 μB per atom
* V: 163 Å³/cell
* D(E_F): 8.365 states/eV/cell
* crystal system: cubic



Most favorable structure: version one. The second most favorable one is 0.096 eV/atom above it.



Version one
# KReB3

An optimized crystal structure of KReB3 (PBE, the Alexandria database).

```
KReB3
1.0
4.250 0.000 0.000
0.000 4.250 0.000
0.000 0.000 4.250
K Re B
1 1 3
Direct
0.000 0.000 0.000
0.500 0.500 0.500
0.000 0.500 0.500
0.500 0.000 0.500
0.500 0.500 0.000
```

* magnetic moment: 0.0000 μB per atom
* V: 77 Å³/cell
* D(E_F): 2.214 states/eV/cell
* crystal system: cubic



Version two
# KReB3

An optimized crystal structure of KReB3 (PBE, the Alexandria database).

```
KReB3
1.0
4.001 0.000 0.000
0.000 4.001 0.000
0.000 0.000 4.001
K Re B
1 1 3
Direct
0.000 0.000 0.000
0.500 0.500 0.500
0.000 0.000 0.500
0.000 0.500 0.000
0.500 0.000 0.000
```

* magnetic moment: 0.1102 μB per atom
* V: 64 Å³/cell
* D(E_F): 9.305 states/eV/cell
* crystal system: cubic



Most favorable structure: version one. The second most favorable one is 3.196 eV/atom above it.



Version one
# K2ReB2

An optimized crystal structure of K2ReB2 (PBE, the Alexandria database).

```
K2ReB2
1.0
-2.532 2.532 4.529
2.532 -2.532 4.529
2.532 2.532 -4.529
K Re B
2 1 2
Direct
0.144 0.144 0.000
0.856 0.856 0.000
0.500 0.500 0.000
0.250 0.750 0.500
0.750 0.250 0.500
```

* magnetic moment: 0.5090 μB per atom
* V: 116 Å³/cell
* D(E_F): 3.637 states/eV/cell
* crystal system: tetragonal



Version two
# K2ReB2

An optimized crystal structure of K2ReB2 (PBE, the Alexandria database).

```
K2ReB2
1.0
8.828 0.000 0.000
0.000 8.828 0.000
0.000 0.000 2.522
K Re B
4 2 4
Direct
0.133 0.367 0.000
0.367 0.867 0.000
0.633 0.133 0.000
0.867 0.633 0.000
0.000 0.000 0.000
0.500 0.500 0.000
0.164 0.664 0.500
0.336 0.164 0.500
0.664 0.836 0.500
0.836 0.336 0.500
```

* magnetic moment: 0.0000 μB per atom
* V: 197 Å³/cell
* D(E_F): 3.535 states/eV/cell
* crystal system: tetragonal



Most favorable structure: version two. The second most favorable one is 0.427 eV/atom above it.



Version one
# KB3Rh

An optimized crystal structure of KB3Rh (PBE, the Alexandria database).

```
KB3Rh
1.0
4.161 0.000 0.000
0.000 4.161 0.000
0.000 0.000 4.161
K B Rh
1 3 1
Direct
0.000 0.000 0.000
0.000 0.500 0.500
0.500 0.000 0.500
0.500 0.500 0.000
0.500 0.500 0.500
```

* magnetic moment: 0.0000 μB per atom
* V: 72 Å³/cell
* D(E_F): 4.009 states/eV/cell
* crystal system: cubic



Version two
# KB3Rh

An optimized crystal structure of KB3Rh (PBE, the Alexandria database).

```
KB3Rh
1.0
4.265 0.000 0.000
0.000 4.265 0.000
0.000 0.000 4.265
K B Rh
1 3 1
Direct
0.000 0.000 0.000
0.000 0.000 0.500
0.000 0.500 0.000
0.500 0.000 0.000
0.500 0.500 0.500
```

* magnetic moment: 0.0948 μB per atom
* V: 78 Å³/cell
* D(E_F): 5.691 states/eV/cell
* crystal system: cubic



Most favorable structure: version one. The second most favorable one is 2.707 eV/atom above it.



Version one
# K2BS

An optimized crystal structure of K2BS (PBE, the Alexandria database).

```
K2BS
1.0
-2.541 2.541 9.854
2.541 -2.541 9.854
2.541 2.541 -9.854
K B S
4 2 2
Direct
0.121 0.625 0.996
0.375 0.371 0.496
0.629 0.125 0.004
0.875 0.879 0.504
0.250 0.750 0.500
0.500 0.500 0.000
0.000 0.000 0.000
0.750 0.250 0.500
```

* magnetic moment: 0.2500 μB per atom
* V: 255 Å³/cell
* D(E_F): 0.000 states/eV/cell
* crystal system: tetragonal



Version two
# K2BS

An optimized crystal structure of K2BS (PBE, the Alexandria database).

```
K2BS
1.0
0.000 3.753 3.753
3.753 0.000 3.753
3.753 3.753 0.000
K B S
2 1 1
Direct
0.250 0.250 0.250
0.750 0.750 0.750
0.000 0.000 0.000
0.500 0.500 0.500
```

* magnetic moment: 0.2500 μB per atom
* V: 106 Å³/cell
* D(E_F): 2.943 states/eV/cell
* crystal system: cubic



Most favorable structure: version two. The second most favorable one is 0.184 eV/atom above it.



Version one
# K4BS4

An optimized crystal structure of K4BS4 (PBE, the Alexandria database).

```
K4BS4
1.0
8.661 0.000 0.000
0.000 8.661 0.000
0.000 0.000 6.550
K B S
8 2 8
Direct
0.022 0.250 0.094
0.250 0.022 0.594
0.250 0.478 0.594
0.478 0.250 0.094
0.522 0.750 0.906
0.750 0.522 0.406
0.750 0.978 0.406
0.978 0.750 0.906
0.250 0.750 0.250
0.750 0.250 0.750
0.057 0.750 0.407
0.250 0.557 0.093
0.250 0.943 0.093
0.443 0.750 0.407
0.557 0.250 0.593
0.750 0.057 0.907
0.750 0.443 0.907
0.943 0.250 0.593
```

* magnetic moment: 0.1196 μB per atom
* V: 491 Å³/cell
* D(E_F): 13.885 states/eV/cell
* crystal system: tetragonal



Version two
# K4BS4

An optimized crystal structure of K4BS4 (PBE, the Alexandria database).

```
K4BS4
1.0
-4.628 4.628 3.073
4.628 -4.628 3.073
4.628 4.628 -3.073
K B S
4 1 4
Direct
0.085 0.290 0.375
0.290 0.915 0.205
0.710 0.085 0.795
0.915 0.710 0.625
0.500 0.500 0.000
0.289 0.565 0.854
0.435 0.289 0.724
0.565 0.711 0.276
0.711 0.435 0.146
```

* magnetic moment: 0.1169 μB per atom
* V: 263 Å³/cell
* D(E_F): 1.343 states/eV/cell
* crystal system: tetragonal



Most favorable structure: version one. The second most favorable one is 0.321 eV/atom above it.



Version one
# KBSb3

An optimized crystal structure of KBSb3 (PBE, the Alexandria database).

```
KBSb3
1.0
5.850 0.000 0.000
0.000 5.850 0.000
0.000 0.000 5.850
K B Sb
1 1 3
Direct
0.000 0.000 0.000
0.500 0.500 0.500
0.000 0.000 0.500
0.000 0.500 0.000
0.500 0.000 0.000
```

* magnetic moment: 0.0927 μB per atom
* V: 200 Å³/cell
* D(E_F): 4.947 states/eV/cell
* crystal system: cubic



Version two
# KBSb3

An optimized crystal structure of KBSb3 (PBE, the Alexandria database).

```
KBSb3
1.0
5.083 0.000 0.000
0.000 5.083 0.000
0.000 0.000 5.083
K B Sb
1 1 3
Direct
0.000 0.000 0.000
0.500 0.500 0.500
0.000 0.500 0.500
0.500 0.000 0.500
0.500 0.500 0.000
```

* magnetic moment: 0.0000 μB per atom
* V: 131 Å³/cell
* D(E_F): 2.690 states/eV/cell
* crystal system: cubic



Most favorable structure: version two. The second most favorable one is 1.625 eV/atom above it.



Version one
# K2BSe

An optimized crystal structure of K2BSe (PBE, the Alexandria database).

```
K2BSe
1.0
0.000 3.849 3.849
3.849 0.000 3.849
3.849 3.849 0.000
K B Se
2 1 1
Direct
0.250 0.250 0.250
0.750 0.750 0.750
0.000 0.000 0.000
0.500 0.500 0.500
```

* magnetic moment: 0.2500 μB per atom
* V: 114 Å³/cell
* D(E_F): 2.735 states/eV/cell
* crystal system: cubic



Version two
# K2BSe

An optimized crystal structure of K2BSe (PBE, the Alexandria database).

```
K2BSe
1.0
-2.559 2.559 10.164
2.559 -2.559 10.164
2.559 2.559 -10.164
K B Se
4 2 2
Direct
0.115 0.625 0.990
0.375 0.365 0.490
0.635 0.125 0.010
0.875 0.885 0.510
0.000 0.000 0.000
0.750 0.250 0.500
0.250 0.750 0.500
0.500 0.500 0.000
```

* magnetic moment: 0.2500 μB per atom
* V: 266 Å³/cell
* D(E_F): 0.000 states/eV/cell
* crystal system: tetragonal



Most favorable structure: version one. The second most favorable one is 0.181 eV/atom above it.



Version one
# KB3Se

An optimized crystal structure of KB3Se (PBE, the Alexandria database).

```
KB3Se
1.0
4.405 0.000 0.000
0.000 4.405 0.000
0.000 0.000 4.405
K B Se
1 3 1
Direct
0.000 0.000 0.000
0.000 0.500 0.500
0.500 0.000 0.500
0.500 0.500 0.000
0.500 0.500 0.500
```

* magnetic moment: 0.0000 μB per atom
* V: 85 Å³/cell
* D(E_F): 2.973 states/eV/cell
* crystal system: cubic



Version two
# KB3Se

An optimized crystal structure of KB3Se (PBE, the Alexandria database).

```
KB3Se
1.0
5.035 0.000 0.000
0.000 5.035 0.000
0.000 0.000 5.035
K B Se
1 3 1
Direct
0.000 0.000 0.000
0.000 0.000 0.500
0.000 0.500 0.000
0.500 0.000 0.000
0.500 0.500 0.500
```

* magnetic moment: 0.0000 μB per atom
* V: 128 Å³/cell
* D(E_F): 2.986 states/eV/cell
* crystal system: cubic



Most favorable structure: version one. The second most favorable one is 1.251 eV/atom above it.